The following is a PBE calculation of TeMoSeS2Br after structural relaxation, from OQMD.

**Symmetry**: P-1
**V**: 28.88 Å³/atom
**Total moment**: 0.00 μB/cell

```
12
Lattice="-4.3680 4.6566 -0.9642 -3.2919 -7.2974 1.1127 3.5472 1.9390 7.1513" Properties=species:S:1:pos:R:3 pbc="T T T"
Br -5.1535 0.0155 1.6513
Br 1.0408 -0.7173 5.6486
Mo -3.3994 3.6231 -0.7443
Mo -0.7133 -4.3249 8.0442
S -1.4057 -1.1442 0.8016
S -4.5389 -3.8574 1.7676
S 0.4262 3.1556 5.5323
S -2.7071 0.4424 6.4983
Se -0.1676 0.2930 2.1027
Se -3.9451 -0.9948 5.1972
Te -3.0162 1.9506 1.4874
Te -1.0965 -2.6524 5.8125
```



The following is a PBE calculation of TeMoSe2SBr after structural relaxation, from OQMD.

**Symmetry**: P-1
**V**: 30.13 Å³/atom
**Total moment**: 0.00 μB/cell

```
12
Lattice="-5.0458 0.6677 -3.8990 4.9217 -5.4093 -3.8518 -4.1075 -2.6937 6.6785" Properties=species:S:1:pos:R:3 pbc="T T T"
Br 0.1175 -4.1146 -0.8666
Br -4.3491 -3.3207 -0.2057
Mo -1.1284 0.1487 -0.8702
Mo -8.0250 -2.1748 3.6496
S -1.2694 -4.3677 -6.1991
S -2.9622 -3.0676 5.1268
Se -1.9572 -1.3221 -2.9596
Se 1.1904 -5.6080 -4.3325
Se -5.4219 -1.8274 3.2601
Se -2.2744 -6.1133 1.8873
Te -0.8463 -2.0471 0.7458
Te -3.3853 -5.3883 -1.8181
```



The following is a PBE calculation of Te2MoSeSBr after structural relaxation, from OQMD.

**Symmetry**: P-1
**V**: 30.89 Å³/atom
**Total moment**: 0.00 μB/cell

```
12
Lattice="6.5592 0.0000 0.0000 -1.1237 8.2867 0.0000 -3.2734 -3.7323 6.8189" Properties=species:S:1:pos:R:3 pbc="T T T"
Br 2.1664 4.8004 2.5902
Br -0.0043 -0.2460 4.2288
Mo 1.5069 0.0050 0.0047
Mo 0.6552 4.5493 6.8142
S 3.2866 0.5458 1.7599
S -1.1245 4.0086 5.0590
Se 3.2854 1.9658 0.0665
Se -1.1233 2.5886 6.7524
Te -0.0055 1.9977 1.1807
Te -1.1241 6.6719 1.6497
Te 3.2862 -2.1175 5.1692
Te 2.1676 2.5567 5.6382
```



The following is a PBE calculation of TeMoSeS2Br after structural relaxation, from OQMD.

**Symmetry**: P-1
**V**: 29.35 Å³/atom
**Total moment**: 0.00 μB/cell

```
12
Lattice="6.3181 0.0000 0.0000 -1.0650 8.0461 0.0000 -2.0901 -3.8783 6.9279" Properties=species:S:1:pos:R:3 pbc="T T T"
Br 3.1556 3.4864 2.7827
Br 0.0074 0.6814 4.1452
Mo 4.8913 -0.0019 0.0034
Mo -0.6632 -3.8764 6.9245
S 2.0914 6.2274 0.1462
S -1.0609 6.3418 0.9897
S 4.2239 -2.1740 5.9382
S 1.0716 -2.0596 6.7817
Se 3.1536 -0.5779 1.9438
Se 0.0094 4.7457 4.9841
Te 0.0016 1.7150 1.5954
Te 3.1614 2.4528 5.3325
```



Number 1: electronic total energy -58.75 eV for the cell shown. Number 2: electronic total energy -58.46 eV for the cell shown. Number 3: electronic total energy -56.61 eV for the cell shown. Number 4: electronic total energy -59.86 eV for the cell shown.